# 1
VASP calculation (PBE) on a relaxed structure of LiAcDyAu.

Cell: 5.366 5.366 5.366 Å, 60.00 60.00 60.00°
Atoms (fractional coordinates):
Dy  0.750  0.750  0.750
Ac  0.250  0.250  0.250
Au  0.000  0.000  0.000
Li  0.500  0.500  0.500

Summary:
Density of states at the Fermi level   4.02 states/eV/cell
Magnetization   0.00 μB/f.u.
Energy relative to the elements   -0.308 eV per atom
Electronic total energy   -3.78 eV/atom
Symmetry   F-43m, No. 216

***

# 2
VASP calculation (PBE) on a relaxed structure of AcGdAgPt.

Cell: 5.280 5.280 5.280 Å, 60.00 60.00 60.00°
Atoms (fractional coordinates):
Pt  0.500  0.500  0.500
Ag  0.000  0.000  0.000
Gd  0.750  0.750  0.750
Ac  0.250  0.250  0.250

Summary:
Density of states at the Fermi level   3.26 states/eV/cell
Magnetization   7.15 μB/f.u.
Energy relative to the elements   -0.641 eV per atom
Electronic total energy   -7.41 eV/atom
Symmetry   F-43m, No. 216

***

# 3
VASP calculation (PBE) on a relaxed structure of CaScN2F.

Cell: 4.275 4.275 4.074 Å, 90.00 90.00 90.00°
Atoms (fractional coordinates):
F  0.000  0.000  0.500
N  0.000  0.500  0.000
N  0.500  0.000  0.000
Ca  0.000  0.000  0.000
Sc  0.500  0.500  0.500

Summary:
Density of states at the Fermi level   1.30 states/eV/cell
Magnetization   0.51 μB/f.u.
Excess energy over the best structure of this formula in the dataset   1026 meV per atom
Raw formation energy   -0.251 eV/atom
Electronic total energy   -5.62 eV/atom
Symmetry   P4/mmm, No. 123

***

What is the formula in the first record?
LiAcDyAu

***

Among the records above, which one has the highest electronic total energy?
LiAcDyAu

***

Please write out number 2 again, unchanged.
VASP calculation (PBE) on a relaxed structure of AcGdAgPt.

Cell: 5.280 5.280 5.280 Å, 60.00 60.00 60.00°
Atoms (fractional coordinates):
Pt  0.500  0.500  0.500
Ag  0.000  0.000  0.000
Gd  0.750  0.750  0.750
Ac  0.250  0.250  0.250

Summary:
Density of states at the Fermi level   3.26 states/eV/cell
Magnetization   7.15 μB/f.u.
Energy relative to the elements   -0.641 eV per atom
Electronic total energy   -7.41 eV/atom
Symmetry   F-43m, No. 216

***

Which formula does entry 1 have?
LiAcDyAu